Entry 1:
This record from the Alexandria database describes crystalline VSb2O6 at its relaxed geometry. The functional is PBE+U.

Properties
- Energy above the lowest structure with this stoichiometry: 0.0 meV per atom
- V: 12.28 Å³/atom
- Spin magnetization: 1.98 μB per formula unit
- Final energy: -6.60 eV/atom
- DOS(E_F): 3.5 states/eV per cell

a = 4.7742 Å, b = 4.7742 Å, c = 9.6973 Å
α = 90.00°, β = 90.00°, γ = 90.00°
With the nearest neighbours (Å) after each atom.
Element x y z (fractional)
O 0.1962 0.8038 0.5000  1 V 2.05, 2 Sb 2.10
Sb 0.0000 0.0000 0.6674  6 O 2.07-2.10
Sb 0.5000 0.5000 0.8326  6 O 2.07-2.10
O 0.3072 0.3072 0.3341  1 V 2.07, 2 Sb 2.07-2.08
V 0.5000 0.5000 0.5000  6 O 2.05-2.07
O 0.6928 0.6928 0.6659  1 V 2.07, 2 Sb 2.07-2.08
O 0.6962 0.6962 0.0000  1 V 2.05, 2 Sb 2.10
V 0.0000 0.0000 0.0000  6 O 2.05-2.07
O 0.6928 0.6928 0.3341  1 V 2.07, 2 Sb 2.07-2.08
O 0.1928 0.8072 0.8341  1 V 2.07, 2 Sb 2.07-2.08
O 0.3038 0.3038 0.0000  1 V 2.05, 2 Sb 2.10
O 0.8072 0.1928 0.8341  1 V 2.07, 2 Sb 2.07-2.08
O 0.8038 0.1962 0.5000  1 V 2.05, 2 Sb 2.10
Sb 0.5000 0.5000 0.1674  6 O 2.07-2.10
O 0.1928 0.8072 0.1659  1 V 2.07, 2 Sb 2.07-2.08
O 0.3072 0.3072 0.6659  1 V 2.07, 2 Sb 2.07-2.08
O 0.8072 0.1928 0.1659  1 V 2.07, 2 Sb 2.07-2.08
Sb 0.0000 0.0000 0.3326  6 O 2.07-2.10

=====

Entry 2:
This record from the Alexandria database describes crystalline VSbO at its relaxed geometry. The functional is PBE+U.

Properties
- V: 17.05 Å³/atom
- Spin magnetization: 1.99 μB per formula unit
- Final energy: -5.94 eV/atom
- DOS(E_F): 1.7 states/eV per cell

a = 3.0500 Å, b = 3.0498 Å, c = 12.7019 Å
α = 90.00°, β = 90.00°, γ = 120.00°
With the nearest neighbours (Å) after each atom.
Element x y z (fractional)
O 0.2771 0.5543 0.0886  3 V 2.09, 1 O 2.25
Sb 0.6118 0.2235 0.6864  3 V 2.95, 6 Sb 3.05
O 0.2771 0.5543 0.9114  3 V 2.09, 1 O 2.25
V 0.6104 0.2209 0.0000  6 O 2.09
V 0.2784 0.5567 0.5000  6 Sb 2.95, 6 V 3.05
Sb 0.6118 0.2235 0.3136  3 V 2.95, 6 Sb 3.05

=====

Entry 3:
This record from the Alexandria database describes crystalline YVSbO2 at its relaxed geometry. The functional is PBE+U.

Properties
- V: 21.30 Å³/atom
- Spin magnetization: 1.01 μB per formula unit
- Final energy: -4.97 eV/atom
- DOS(E_F): 8.5 states/eV per cell

a = 4.1826 Å, b = 6.0891 Å, c = 4.1826 Å
α = 90.00°, β = 90.00°, γ = 90.00°
With the nearest neighbours (Å) after each atom.
Element x y z (fractional)
Y 0.0000 0.5000 0.0000  4 V 2.96, 2 Sb 3.04
O 0.0000 0.0000 0.5000  2 Sb 2.09
V 0.5000 0.5000 0.5000  4 Y 2.96
Sb 0.0000 0.0000 0.0000  4 O 2.09
O 0.5000 0.0000 0.0000  2 Sb 2.09

=====

Entry 4:
This record from the Alexandria database describes crystalline VZnSbO6 at its relaxed geometry. The functional is PBE+U.

Properties
- V: 11.42 Å³/atom
- Spin magnetization: 0.00 μB per formula unit
- Final energy: -6.21 eV/atom

a = 5.1148 Å, b = 5.1148 Å, c = 9.0739 Å
α = 90.00°, β = 90.00°, γ = 120.00°
With the nearest neighbours (Å) after each atom.
Element x y z (fractional)
O 0.0144 0.3639 0.6334  1 V 1.91, 1 Sb 2.01
Sb 0.3333 0.6667 0.2500  6 O 2.01
O 0.3495 0.3639 0.8666  1 V 1.91, 1 Sb 2.01
O 0.9856 0.6361 0.3666  1 V 1.91, 1 Sb 2.01
O 0.0144 0.6505 0.8666  1 V 1.91, 1 Sb 2.01
Zn 0.0000 0.0000 0.5000  6 O 2.19
V 0.3333 0.6667 0.7500  6 O 1.91
V 0.6667 0.3333 0.2500  6 O 1.91
O 0.6505 0.6361 0.1334  1 V 1.91, 1 Sb 2.01
O 0.3639 0.3495 0.3666  1 V 1.91, 1 Sb 2.01
O 0.6505 0.0144 0.3666  1 V 1.91, 1 Sb 2.01
O 0.6361 0.6505 0.6334  1 V 1.91, 1 Sb 2.01
O 0.9856 0.3495 0.1334  1 V 1.91, 1 Sb 2.01
O 0.3639 0.0144 0.1334  1 V 1.91, 1 Sb 2.01
Sb 0.6667 0.3333 0.7500  6 O 2.01
O 0.6361 0.9856 0.8666  1 V 1.91, 1 Sb 2.01
Zn 0.0000 0.0000 0.0000  6 O 2.19
O 0.3495 0.9856 0.6334  1 V 1.91, 1 Sb 2.01

=====

Entry 5:
This record from the Alexandria database describes crystalline ZrVSbO6 at its relaxed geometry. The functional is PBE+U.

Properties
- V: 12.08 Å³/atom
- Spin magnetization: 2.00 μB per formula unit
- Final energy: -7.64 eV/atom
- DOS(E_F): 0.0 states/eV per cell

a = 5.3150 Å, b = 5.3150 Å, c = 8.8879 Å
α = 90.00°, β = 90.00°, γ = 120.00°
With the nearest neighbours (Å) after each atom.
Element x y z (fractional)
O 0.3422 0.0151 0.1282  1 Sb 2.02, 1 V 2.11, 1 Zr 2.13
V 0.0000 0.0000 0.0000  6 O 2.11
O 0.0151 0.3422 0.6282  1 Sb 2.02, 1 V 2.11, 1 Zr 2.13
Zr 0.6667 0.3333 0.7500  6 O 2.13
O 0.9849 0.6578 0.3718  1 Sb 2.02, 1 V 2.11, 1 Zr 2.13
O 0.3422 0.3271 0.3718  1 Sb 2.02, 1 V 2.11, 1 Zr 2.13
V 0.0000 0.0000 0.5000  6 O 2.11
O 0.6729 0.0151 0.3718  1 Sb 2.02, 1 V 2.11, 1 Zr 2.13
O 0.0151 0.6729 0.8718  1 Sb 2.02, 1 V 2.11, 1 Zr 2.13
O 0.3271 0.3422 0.8718  1 Sb 2.02, 1 V 2.11, 1 Zr 2.13
O 0.9849 0.3271 0.1282  1 Sb 2.02, 1 V 2.11, 1 Zr 2.13
Zr 0.3333 0.6667 0.2500  6 O 2.13
Sb 0.3333 0.6667 0.7500  6 O 2.02
O 0.6729 0.6578 0.1282  1 Sb 2.02, 1 V 2.11, 1 Zr 2.13
Sb 0.6667 0.3333 0.2500  6 O 2.02
O 0.6578 0.9849 0.8718  1 Sb 2.02, 1 V 2.11, 1 Zr 2.13
O 0.3271 0.9849 0.6282  1 Sb 2.02, 1 V 2.11, 1 Zr 2.13
O 0.6578 0.6729 0.6282  1 Sb 2.02, 1 V 2.11, 1 Zr 2.13

=====

Entry 6:
This record from the Alexandria database describes crystalline SbWO3 at its relaxed geometry. The functional is PBE+U.

Properties
- V: 13.40 Å³/atom
- Spin magnetization: 1.97 μB per formula unit
- Final energy: -6.25 eV/atom
- DOS(E_F): 3.4 states/eV per cell

a = 4.0610 Å, b = 4.0610 Å, c = 4.0610 Å
α = 90.00°, β = 90.00°, γ = 90.00°
With the nearest neighbours (Å) after each atom.
Element x y z (fractional)
O 0.0000 0.0000 0.5000  2 W 2.03
Sb 0.5000 0.5000 0.5000  12 O 2.87
O 0.5000 0.0000 0.0000  2 W 2.03
W 0.0000 0.0000 0.0000  6 O 2.03
O 0.0000 0.5000 0.0000  2 W 2.03

=====

Entry 7:
This record from the Alexandria database describes crystalline SbWO7 at its relaxed geometry. The functional is PBE+U.

Properties
- V: 16.33 Å³/atom
- Spin magnetization: 1.00 μB per formula unit
- Final energy: -6.31 eV/atom

a = 7.3823 Å, b = 7.3822 Å, c = 7.3823 Å
α = 114.38°, β = 120.29°, γ = 94.76°
With the nearest neighbours (Å) after each atom.
Element x y z (fractional)
Sb 0.5000 0.0000 0.0000  4 O 1.95
O 0.4296 0.6985 0.3870  1 W 1.94, 1 Sb 1.95
O 0.1885 0.3015 0.2311  1 W 1.94, 1 Sb 1.95
O 0.7313 0.4812 0.2502  1 O 1.33
O 0.2687 0.5188 0.7498  1 O 1.33
O 0.8091 0.0591 0.7500  2 W 1.93
O 0.4296 0.0426 0.7311  1 W 1.94, 1 Sb 1.95
W 0.5000 0.0000 0.5000  6 O 1.93-1.94
W 0.0000 0.0000 0.0000  6 O 1.93-1.94
O 0.5704 0.3015 0.6130  1 W 1.94, 1 Sb 1.95
O 0.1909 0.9409 0.2500  2 W 1.93
O 0.5704 0.9574 0.2689  1 W 1.94, 1 Sb 1.95
O 0.1885 0.9574 0.8870  1 W 1.94, 1 Sb 1.95
O 0.5986 0.3486 0.2500  1 O 1.33
O 0.8115 0.6985 0.7689  1 W 1.94, 1 Sb 1.95
O 0.4014 0.6514 0.7500  1 O 1.33
O 0.8115 0.0426 0.1130  1 W 1.94, 1 Sb 1.95
Sb 0.5000 0.5000 0.5000  4 O 1.95

=====

Entry 8:
This record from the Alexandria database describes crystalline SbW2O8 at its relaxed geometry. The functional is PBE+U.

Properties
- Energy above the lowest structure with this stoichiometry: 248.2 meV per atom
- V: 20.95 Å³/atom
- Spin magnetization: 0.00 μB per formula unit
- Final energy: -6.73 eV/atom
- DOS(E_F): 3.1 states/eV per cell

a = 5.4261 Å, b = 9.7208 Å, c = 6.5622 Å
α = 137.79°, β = 95.14°, γ = 90.00°
With the nearest neighbours (Å) after each atom.
Element x y z (fractional)
O 0.7925 0.2690 0.2620  1 W 1.87
O 0.2075 0.7310 0.7380  1 W 1.87
W 0.6361 0.2301 0.4603  4 O 1.74-1.87
O 0.7094 0.8187 0.6373  1 W 1.87, 1 Sb 2.09
O 0.2719 0.5735 0.1470  1 W 1.74
O 0.2906 0.1813 0.3627  1 W 1.87, 1 Sb 2.09
W 0.3639 0.7699 0.5397  4 O 1.74-1.87
Sb 0.0000 0.0000 0.0000  6 O 2.09-2.18
O 0.2075 0.0071 0.7380  1 W 1.87
O 0.7281 0.4265 0.8530  1 W 1.74
O 0.7925 0.9929 0.2620  1 W 1.87